Material: CdSiTc2
Method: DFT, meta-GGA SCAN
State: single point on PBEsol structure

Cell: 2.8079 4.5822 4.9553 Å, 111.42 90.00 90.00°
With the nearest neighbours (Å) after each atom.
Positions (direct):
1 Cd 0.5000 0.5000 0.0000  6 Tc 2.69, 2 Cd 2.81, 4 Si 2.85
2 Si 0.0000 0.5000 0.5000  6 Tc 2.69, 2 Si 2.81, 4 Cd 2.85
3 Tc 0.5000 0.0000 0.5000  4 Si 2.69, 2 Cd 2.69, 6 Tc 2.81-2.85
4 Tc 0.0000 0.0000 0.0000  4 Cd 2.69, 2 Si 2.69, 6 Tc 2.81-2.85

## Properties
Its energy above the most stable polymorph in this dataset is 7.29 kJ/mol of atoms. For the formation energy without anion corrections, the calculation gives 0.3879 eV/atom.

***

Material: CdSiTc
Method: DFT, meta-GGA SCAN
State: single point on PBEsol structure

Cell: 4.2261 4.2261 4.2261 Å, 60.00 60.00 60.00°
With the nearest neighbours (Å) after each atom.
Positions (direct):
1 Cd 0.0000 0.0000 0.0000  4 Tc 2.59
2 Tc 0.7500 0.7500 0.7500  4 Cd 2.59, 4 Si 2.59
3 Si 0.5000 0.5000 0.5000  4 Tc 2.59

## Properties
For the formation energy without anion corrections, the calculation gives 0.5272 eV/atom.

***

Material: CdSiTc2
Method: DFT, meta-GGA SCAN
State: single point on PBEsol structure

Cell: 4.3687 4.3687 4.3687 Å, 60.00 60.00 60.00°
With the nearest neighbours (Å) after each atom.
Positions (direct):
1 Tc 0.0000 0.0000 0.0000  4 Tc 2.68, 4 Si 2.68
2 Tc 0.7500 0.7500 0.7500  4 Cd 2.68, 4 Tc 2.68
3 Si 0.2500 0.2500 0.2500  4 Tc 2.68, 4 Cd 2.68
4 Cd 0.5000 0.5000 0.5000  4 Si 2.68, 4 Tc 2.68

## Properties
Its energy above the most stable polymorph in this dataset is 9.45 kJ/mol of atoms. For the formation energy without anion corrections, the calculation gives 0.4102 eV/atom.

***

Material: CdSiTc2
Method: DFT, meta-GGA SCAN
State: single point on PBEsol structure

Cell: 4.3373 4.3373 4.3373 Å, 60.00 60.00 60.00°
With the nearest neighbours (Å) after each atom.
Positions (direct):
1 Si 0.5000 0.5000 0.5000  8 Tc 2.66
2 Tc 0.2500 0.2500 0.2500  4 Si 2.66, 4 Cd 2.66
3 Tc 0.7500 0.7500 0.7500  4 Cd 2.66, 4 Si 2.66
4 Cd 0.0000 0.0000 0.0000  8 Tc 2.66

## Properties
Its energy above the most stable polymorph in this dataset is 0.00 kJ/mol of atoms. For the formation energy without anion corrections, the calculation gives 0.3123 eV/atom.

***

Number 1: total magnetization 0.0 μB per formula unit, DOS(E_F) 3.08 states/eV/f.u.. Number 2: total magnetization 0.0 μB per formula unit, DOS(E_F) 3.27 states/eV/f.u.. Number 3: total magnetization 0.0 μB per formula unit, DOS(E_F) 3.76 states/eV/f.u.. Number 4: total magnetization 0.0 μB per formula unit, DOS(E_F) 3.79 states/eV/f.u..